(1)
Compound: TlFe8
Source: Alexandria via LeMat-Bulk
Functional: PBE
Structure: relaxed

Results
The final energy is -67.24 eV per cell. As for the crystal system: tetragonal. Its formation energy is 272.7 kJ/mol of formula units.

a = 5.760 Å, b = 5.760 Å, c = 5.760 Å
α = 95.76°, β = 95.76°, γ = 143.06°
Element x y z (fractional)
Tl1 0.000 0.000 0.000
Fe1 0.000 0.355 0.355
Fe2 0.000 0.645 0.645
Fe3 0.315 0.315 0.631
Fe4 0.315 0.685 0.000
Fe5 0.355 0.000 0.355
Fe6 0.645 0.000 0.645
Fe7 0.685 0.315 0.000
Fe8 0.685 0.685 0.369

***

(2)
Compound: BeAsP2Rh
Source: Alexandria via LeMat-Bulk
Functional: PBE
Structure: relaxed

Results
The final energy is -23.38 eV per cell. As for the crystal system: tetragonal. Its formation energy is 305.9 kJ/mol of formula units.

a = 4.142 Å, b = 4.142 Å, c = 4.426 Å
α = 90.00°, β = 90.00°, γ = 90.00°
Element x y z (fractional)
Be1 0.000 0.000 0.000
As1 0.000 0.000 0.500
P1 0.000 0.500 0.000
P2 0.500 0.000 0.000
Rh1 0.500 0.500 0.500

***

(3)
Compound: AcHo2NpO8
Source: Alexandria via LeMat-Bulk
Functional: PBE
Structure: relaxed

Results
As for the uncorrected formation energy: -3.150 eV/atom. The final energy is -103.67 eV per cell. As for the crystal system: monoclinic.

a = 4.018 Å, b = 7.579 Å, c = 5.460 Å
α = 90.00°, β = 94.55°, γ = 90.00°
Element x y z (fractional)
Ac1 0.000 0.000 0.000
Ho1 0.500 0.246 0.500
Ho2 0.500 0.754 0.500
Np1 0.000 0.500 0.000
O1 0.033 0.290 0.756
O2 0.033 0.710 0.756
O3 0.448 0.500 0.224
O4 0.486 0.000 0.730
O5 0.514 0.000 0.270
O6 0.552 0.500 0.776
O7 0.967 0.290 0.244
O8 0.967 0.710 0.244

***

(4)
Compound: AsOs4W
Source: Alexandria via LeMat-Bulk
Functional: PBE
Structure: relaxed

Results
The final energy is -57.26 eV per cell. As for the crystal system: cubic. Its formation energy is 507.5 kJ/mol of formula units.

a = 5.159 Å, b = 5.159 Å, c = 5.159 Å
α = 60.00°, β = 60.00°, γ = 60.00°
Element x y z (fractional)
As1 0.000 0.000 0.000
Os1 0.375 0.375 0.375
Os2 0.375 0.375 0.875
Os3 0.375 0.875 0.375
Os4 0.875 0.375 0.375
W1 0.750 0.750 0.750

***

(5)
Compound: AcDy2CdHg4
Source: Alexandria via LeMat-Bulk
Functional: PBE
Structure: relaxed

Results
The final energy is -18.59 eV per cell. As for the crystal system: trigonal. Its formation energy is -304.3 kJ/mol of formula units.

a = 10.132 Å, b = 10.132 Å, c = 10.132 Å
α = 29.23°, β = 29.23°, γ = 29.23°
Element x y z (fractional)
Ac1 0.000 0.000 0.000
Dy1 0.234 0.234 0.234
Dy2 0.766 0.766 0.766
Cd1 0.500 0.500 0.500
Hg1 0.125 0.125 0.125
Hg2 0.390 0.390 0.390
Hg3 0.610 0.610 0.610
Hg4 0.875 0.875 0.875

***

(6)
Compound: Th2CuGe3Pt12
Source: Alexandria via LeMat-Bulk
Functional: PBE
Structure: relaxed

Results
The final energy is -112.39 eV per cell. As for the crystal system: trigonal. Its formation energy is -686.5 kJ/mol of formula units.

a = 7.779 Å, b = 7.779 Å, c = 7.779 Å
α = 64.46°, β = 64.46°, γ = 64.46°
Element x y z (fractional)
Th1 0.121 0.121 0.121
Th2 0.879 0.879 0.879
Cu1 0.500 0.500 0.500
Ge1 0.000 0.500 0.500
Ge2 0.500 0.000 0.500
Ge3 0.500 0.500 0.000
Pt1 0.130 0.632 0.632
Pt2 0.132 0.132 0.615
Pt3 0.132 0.615 0.132
Pt4 0.368 0.368 0.870
Pt5 0.368 0.870 0.368
Pt6 0.385 0.868 0.868
Pt7 0.615 0.132 0.132
Pt8 0.632 0.130 0.632
Pt9 0.632 0.632 0.130
Pt10 0.868 0.385 0.868
Pt11 0.868 0.868 0.385
Pt12 0.870 0.368 0.368

***

(7)
Compound: Y2MoOs3
Source: Alexandria via LeMat-Bulk
Functional: PBE
Structure: relaxed

Results
The final energy is -58.90 eV per cell. As for the crystal system: trigonal. Its formation energy is -140.3 kJ/mol of formula units.

a = 5.274 Å, b = 5.274 Å, c = 5.274 Å
α = 63.29°, β = 63.29°, γ = 63.29°
Element x y z (fractional)
Y1 0.125 0.125 0.125
Y2 0.875 0.875 0.875
Mo1 0.500 0.500 0.500
Os1 0.000 0.500 0.500
Os2 0.500 0.000 0.500
Os3 0.500 0.500 0.000

***

(8)
Compound: Ce2AlInAu6
Source: Alexandria via LeMat-Bulk
Functional: PBE
Structure: relaxed

Results
The final energy is -42.27 eV per cell. As for the crystal system: triclinic. Its formation energy is -410.8 kJ/mol of formula units.

a = 5.382 Å, b = 5.766 Å, c = 8.100 Å
α = 99.15°, β = 107.35°, γ = 103.12°
Element x y z (fractional)
Ce1 0.074 0.295 0.198
Ce2 0.926 0.705 0.802
Al1 0.500 0.500 0.000
In1 0.500 0.000 0.500
Au1 0.046 0.226 0.775
Au2 0.308 0.549 0.603
Au3 0.452 0.932 0.146
Au4 0.548 0.068 0.854
Au5 0.692 0.451 0.397
Au6 0.954 0.774 0.225

***

(9)
Compound: Zn2AsAu2
Source: Alexandria via LeMat-Bulk
Functional: PBE
Structure: relaxed

Results
As for the energy above the most stable polymorph in this dataset: 0.0490 eV per atom. The final energy is -27.37 eV per cell. As for the crystal system: tetragonal. Its formation energy is 6.4 kJ/mol of formula units.

a = 3.694 Å, b = 3.694 Å, c = 13.244 Å
α = 90.00°, β = 90.00°, γ = 90.00°
Element x y z (fractional)
Zn1 0.000 0.500 0.250
Zn2 0.000 0.500 0.750
Zn3 0.500 0.000 0.250
Zn4 0.500 0.000 0.750
As1 0.000 0.000 0.000
As2 0.500 0.500 0.500
Au1 0.000 0.000 0.394
Au2 0.000 0.000 0.606
Au3 0.500 0.500 0.106
Au4 0.500 0.500 0.894

***

(10)
Compound: Al2TeP
Source: Alexandria via LeMat-Bulk
Functional: PBE
Structure: relaxed

Results
As for the uncorrected formation energy: 0.121 eV/atom. As for the energy above the most stable polymorph in this dataset: 0.4005 eV per atom. The final energy is -31.10 eV per cell. As for the crystal system: monoclinic.

a = 5.590 Å, b = 7.807 Å, c = 4.782 Å
α = 90.00°, β = 125.27°, γ = 90.00°
Element x y z (fractional)
Al1 0.250 0.250 0.000
Al2 0.250 0.750 0.000
Al3 0.750 0.250 0.000
Al4 0.750 0.750 0.000
Te1 0.000 0.000 0.500
Te2 0.500 0.500 0.500
P1 0.000 0.500 0.500
P2 0.500 0.000 0.500

***

(11)
Compound: La4SmSn3
Source: Alexandria via LeMat-Bulk
Functional: PBE
Structure: relaxed

Results
The final energy is -84.40 eV per cell. As for the crystal system: tetragonal. Its formation energy is -556.0 kJ/mol of formula units.

a = 9.524 Å, b = 9.524 Å, c = 9.524 Å
α = 96.27°, β = 96.27°, γ = 141.41°
Element x y z (fractional)
La1 0.087 0.780 0.867
La2 0.220 0.087 0.308
La3 0.280 0.587 0.867
La4 0.413 0.280 0.692
La5 0.587 0.720 0.308
La6 0.720 0.413 0.133
La7 0.780 0.913 0.692
La8 0.913 0.220 0.133
Sm1 0.250 0.750 0.500
Sm2 0.750 0.250 0.500
Sn1 0.157 0.343 0.500
Sn2 0.250 0.250 0.000
Sn3 0.343 0.843 0.186
Sn4 0.657 0.157 0.814
Sn5 0.750 0.750 0.000
Sn6 0.843 0.657 0.500

***

(12)
Compound: ErTh2
Source: Alexandria via LeMat-Bulk
Functional: PBE
Structure: relaxed

Results
As for the energy above the most stable polymorph in this dataset: 0.0062 eV per atom. The final energy is -77.06 eV per cell. As for the crystal system: orthorhombic. Its formation energy is 13.4 kJ/mol of formula units.

a = 7.112 Å, b = 4.999 Å, c = 10.724 Å
α = 90.00°, β = 90.00°, γ = 90.00°
Element x y z (fractional)
Er1 0.123 0.250 0.084
Er2 0.377 0.750 0.584
Er3 0.623 0.250 0.416
Er4 0.877 0.750 0.916
Th1 0.124 0.250 0.417
Th2 0.125 0.250 0.748
Th3 0.375 0.750 0.248
Th4 0.376 0.750 0.917
Th5 0.624 0.250 0.083
Th6 0.625 0.250 0.752
Th7 0.875 0.750 0.252
Th8 0.876 0.750 0.583

***

(13)
Compound: Lu2TlPb
Source: Alexandria via LeMat-Bulk
Functional: PBE
Structure: relaxed

Results
The final energy is -16.16 eV per cell. As for the crystal system: tetragonal. Its formation energy is -100.5 kJ/mol of formula units.

a = 3.872 Å, b = 3.872 Å, c = 7.173 Å
α = 90.00°, β = 90.00°, γ = 90.00°
Element x y z (fractional)
Lu1 0.000 0.000 0.247
Lu2 0.000 0.000 0.753
Tl1 0.500 0.500 0.000
Pb1 0.500 0.500 0.500

***

(14)
Compound: LiMn2Te
Source: Alexandria via LeMat-Bulk
Functional: PBE
Structure: relaxed

Results
As for the uncorrected formation energy: 0.278 eV/atom. The final energy is -44.56 eV per cell. As for the crystal system: monoclinic.

a = 5.689 Å, b = 9.815 Å, c = 2.976 Å
α = 90.00°, β = 121.00°, γ = 90.00°
Element x y z (fractional)
Li1 0.000 0.000 0.000
Li2 0.500 0.500 0.000
Mn1 0.250 0.250 0.500
Mn2 0.250 0.750 0.500
Mn3 0.750 0.250 0.500
Mn4 0.750 0.750 0.500
Te1 0.000 0.500 0.000
Te2 0.500 0.000 0.000